This record from Alexandria via LeMat-Bulk describes AlGaAsCl2 after structural relaxation. The functional is PBE-GGA.

Cell: 5.2972 5.2972 5.0432 Å, 90.00 90.00 90.00°
With the nearest neighbours (Å) after each atom.
Space group P4/mmm (No. 123)
Unique sites:
Al 0.0000 0.0000 0.0000 [1 per cell]  2 As 2.52
Ga 0.5000 0.5000 0.0000 [1 per cell]  8 Cl 3.66, 4 Al 3.75
As 0.0000 0.0000 0.5000 [1 per cell]  2 Al 2.52, 4 Cl 2.65
Cl 0.0000 0.5000 0.5000 [2 per cell]  2 As 2.65

Calculated values
For the energy, the calculation gives -2.92 eV per atom. The energy relative to the elements, uncorrected is 0.49 eV per formula unit. The calculation puts the total magnetization at 0.00 μB/f.u.



This record from Alexandria via LeMat-Bulk describes AsPtW2 after structural relaxation. The functional is PBE-GGA.

Cell: 2.9956 2.9956 6.9210 Å, 90.00 90.00 90.00°
With the nearest neighbours (Å) after each atom.
Space group P4/mmm (No. 123)
Unique sites:
As 0.0000 0.0000 0.0000 [1 per cell]  8 W 2.65
Pt 0.0000 0.0000 0.5000 [1 per cell]  8 W 2.83, 4 Pt 3.00
W 0.5000 0.5000 0.2295 [2 per cell]  4 As 2.65, 4 Pt 2.83

Calculated values
The value obtained for the formation energy is 0.11 eV per atom. For the energy, the calculation gives -9.04 eV per atom. The calculation puts the total magnetization at 0.00 μB/f.u.



This record from Alexandria via LeMat-Bulk describes Tm2ScPb after structural relaxation. The functional is PBE-GGA.

Cell: 3.4872 3.4872 10.6849 Å, 90.00 90.00 120.00°
With the nearest neighbours (Å) after each atom.
Space group P-6m2 (No. 187)
Unique sites:
Tm 0.0000 0.0000 0.2479 [2 per cell]  3 Sc 3.33, 3 Pb 3.36, 6 Tm 3.49
Sc 0.6667 0.3333 0.0000 [1 per cell]  6 Tm 3.33, 6 Sc 3.49
Pb 0.6667 0.3333 0.5000 [1 per cell]  6 Tm 3.36, 6 Pb 3.49

Calculated values
The value obtained for the formation energy is -0.14 eV per atom. For the energy, the calculation gives -4.89 eV per atom. The energy relative to the lowest polymorph listed for this composition comes out at 0.107 eV per atom. The calculation puts the total magnetization at 0.21 μB/f.u.



This record from Alexandria via LeMat-Bulk describes AsRu2Au after structural relaxation. The functional is PBE-GGA.

Cell: 2.8634 3.8219 5.8776 Å, 90.00 90.00 90.00°
With the nearest neighbours (Å) after each atom.
Space group Pmm2 (No. 25)
Unique sites:
As 0.0000 0.0000 0.0000 [1 per cell]  5 Ru 2.47-2.71
Ru 0.0000 0.0000 0.5804 [1 per cell]  1 As 2.47, 4 Ru 2.67
Ru 0.5000 0.5000 0.7825 [1 per cell]  6 Ru 2.67-2.86, 4 As 2.71, 1 Au 2.76
Au 0.5000 0.5000 0.3130 [1 per cell]  5 Ru 2.76-2.86, 2 Au 2.86, 4 As 3.01

Calculated values
The value obtained for the formation energy is 0.26 eV per atom. For the energy, the calculation gives -6.36 eV per atom. The calculation puts the total magnetization at 0.00 μB/f.u.



This record from Alexandria via LeMat-Bulk describes LiCeCoPb after structural relaxation. The functional is PBE-GGA.

Cell: 6.6851 6.6851 6.6851 Å, 90.00 90.00 90.00°
With the nearest neighbours (Å) after each atom.
Space group F-43m (No. 216)
Unique sites:
Li 0.0000 0.0000 0.0000 [4 per cell]  4 Pb 2.89, 4 Ce 2.89
Ce 0.2500 0.2500 0.2500 [4 per cell]  4 Li 2.89, 4 Co 2.89
Co 0.0000 0.0000 0.5000 [4 per cell]  4 Ce 2.89, 4 Pb 2.89
Pb 0.2500 0.2500 0.7500 [4 per cell]  4 Li 2.89, 4 Co 2.89

Calculated values
The value obtained for the formation energy is -0.21 eV per atom. For the energy, the calculation gives -4.88 eV per atom. The calculation puts the total magnetization at 0.03 μB/f.u.



This record from Alexandria via LeMat-Bulk describes ScNiPb after structural relaxation. The functional is PBE-GGA.

Cell: 3.2892 3.2892 11.0270 Å, 90.00 90.00 90.00°
With the nearest neighbours (Å) after each atom.
Space group I4mm (No. 107)
Unique sites:
Sc 0.0000 0.0000 0.0000 [2 per cell]  4 Ni 2.71
Ni 0.0000 0.0000 0.3738 [2 per cell]  4 Sc 2.71, 4 Pb 2.92
Pb 0.0000 0.0000 0.7133 [2 per cell]  4 Ni 2.92, 1 Sc 3.16

Calculated values
The value obtained for the formation energy is -0.20 eV per atom. For the energy, the calculation gives -5.48 eV per atom. The calculation puts the total magnetization at 0.00 μB/f.u.